A plane-wave DFT calculation with PBE was carried out for a relaxed structure of BeHS2Cl.

Summary:
Energy relative to the lowest polymorph listed for this composition   0.000 eV per atom

Cell: 3.539 3.539 6.233 Å, 90.00 90.00 90.00°
Space group P4/mmm (No. 123)
Unique sites:
Be: 0.000 0.000 0.000
H: 0.500 0.500 0.500
S: 0.000 0.500 0.500
Cl: 0.500 0.500 0.000